Here is an optimized crystal structure of BaInIF2 from Alexandria via LeMat-Bulk. Energies are from PBE-GGA.

a = 5.1671 Å, b = 5.1671 Å, c = 6.4419 Å
α = 90.00°, β = 90.00°, γ = 90.00°
Last column: nearest neighbours and their distance in Å.
Space group P4/mmm (No. 123)
Inequivalent atoms, fractional coordinates:
1 Ba 0.0000 0.0000 0.0000  2 I 3.22
2 In 0.5000 0.5000 0.0000  4 Ba 3.65
3 I 0.0000 0.0000 0.5000  4 F 2.58
4 F 0.0000 0.5000 0.5000  2 I 2.58

Calculated values
Energy relative to the elements, uncorrected, eV per atom: -0.800
Offset from the most stable computed form, eV/f.u.: 7.950
E, eV for the cell shown: -14.0
Spin magnetization, μB/f.u.: 0.37
Crystal system: tetragonal